DFT (GGA+U) results for an optimized crystal structure of FeAsO4.

Cell lengths 9.3944, 9.3944, 9.3944 Å; angles 108.50, 86.07, 138.70 degrees
Closest atoms and distances in Å follow each position.
Sites, in units of the cell vectors:
Fe: 0.0000 0.0000 0.0000  6 O 2.02-2.05
Fe: 0.3860 0.0000 0.8860  6 O 1.98-2.09
Fe: 0.3860 0.5000 0.3860  6 O 1.98-2.09
Fe: 0.5000 0.0000 0.5000  6 O 2.02-2.05
Fe: 0.6140 0.0000 0.1140  6 O 1.98-2.09
Fe: 0.6140 0.5000 0.6140  6 O 1.98-2.09
As: 0.1767 0.0000 0.6767  4 O 1.69-1.77
As: 0.1767 0.5000 0.1767  4 O 1.69-1.77
As: 0.3206 0.0706 0.2500  4 O 1.70-1.75
As: 0.6794 0.9294 0.7500  4 O 1.70-1.75
As: 0.8233 0.0000 0.3233  4 O 1.69-1.77
As: 0.8233 0.5000 0.8233  4 O 1.69-1.77
O: 0.0818 0.9377 0.1441  1 As 1.70
O: 0.0966 0.2378 0.4228  1 As 1.69
O: 0.0966 0.6737 0.8587  1 As 1.69
O: 0.2259 0.0741 0.8801  1 As 1.77
O: 0.2259 0.3457 0.1517  1 As 1.77
O: 0.2936 0.9377 0.3559  1 As 1.70
O: 0.3060 0.6543 0.3801  1 As 1.77
O: 0.3060 0.9259 0.6517  1 As 1.77
O: 0.3150 0.2378 0.6413  1 As 1.69
O: 0.3150 0.6737 0.0772  1 As 1.69
O: 0.4767 0.0984 0.1217  1 As 1.75
O: 0.4767 0.3550 0.3783  1 As 1.75
O: 0.5233 0.6450 0.6217  1 As 1.75
O: 0.5233 0.9016 0.8783  1 As 1.75
O: 0.6850 0.3263 0.9228  1 As 1.69
O: 0.6850 0.7622 0.3587  1 As 1.69
O: 0.6940 0.0741 0.3483  1 As 1.77
O: 0.6940 0.3457 0.6199  1 As 1.77
O: 0.7064 0.0623 0.6441  1 As 1.70
O: 0.7741 0.6543 0.8483  1 As 1.77
O: 0.7741 0.9259 0.1199  1 As 1.77
O: 0.9034 0.3263 0.1413  1 As 1.69
O: 0.9034 0.7622 0.5772  1 As 1.69
O: 0.9182 0.0623 0.8559  1 As 1.70

raw total energy = -6.328 eV per atom